No. 1
# KS2ICl

A relaxed structure of KS2ICl (PBEsol, Alexandria via LeMat-Bulk).

Results
- E_tot (eV per atom) = -1.994
- crystal system = tetragonal
- E_form (uncorrected) (kcal/mol of atoms) = 17.098
- size of the total moment (μB/f.u.) = 5.04
- SG = P4/mmm

Cell: 5.8566 5.8566 5.4977 Å, 90.00 90.00 90.00°
Sites, in units of the cell vectors:
K 0.0000 0.0000 0.0000
S 0.0000 0.5000 0.0000
S 0.5000 0.0000 0.0000
I 0.5000 0.5000 0.5000
Cl 0.0000 0.0000 0.5000


No. 2
# Ga3HgRh

A relaxed structure of Ga3HgRh (PBEsol, Alexandria via LeMat-Bulk).

Results
- E_tot (eV per atom) = -2.674
- crystal system = cubic
- energy relative to the elements (eV/atom) = 1.0705
- size of the total moment (μB/f.u.) = 0.00
- SG = Pm-3m

Cell: 4.8813 4.8813 4.8813 Å, 90.00 90.00 90.00°
Sites, in units of the cell vectors:
Ga 0.0000 0.0000 0.5000
Ga 0.0000 0.5000 0.0000
Ga 0.5000 0.0000 0.0000
Hg 0.0000 0.0000 0.0000
Rh 0.5000 0.5000 0.5000


No. 3
# TiMn3Si

A relaxed structure of TiMn3Si (PBEsol, Alexandria via LeMat-Bulk).

Results
- E_tot (eV per atom) = -8.095
- crystal system = cubic
- E_form (uncorrected) (kcal/mol of atoms) = 13.264
- size of the total moment (μB/f.u.) = 5.04
- SG = Pm-3m

Cell: 4.1908 4.1908 4.1908 Å, 90.00 90.00 90.00°
Sites, in units of the cell vectors:
Ti 0.0000 0.0000 0.0000
Mn 0.0000 0.5000 0.5000
Mn 0.5000 0.0000 0.5000
Mn 0.5000 0.5000 0.0000
Si 0.5000 0.5000 0.5000


No. 4
# SeCl2

A relaxed structure of SeCl2 (PBEsol, Alexandria via LeMat-Bulk).

Results
- E_tot (eV per atom) = -2.393
- crystal system = trigonal
- E_form (uncorrected) (kcal/mol of atoms) = 5.273
- size of the total moment (μB/f.u.) = 0.00
- SG = P-3m1

Cell: 4.1654 4.1654 5.0261 Å, 90.00 90.00 120.00°
Sites, in units of the cell vectors:
Se 0.0000 0.0000 0.0000
Cl 0.3333 0.6667 0.2270
Cl 0.6667 0.3333 0.7730


Which formula does entry 2 have?
Ga3HgRh


Copy entry 4 word for word.
# SeCl2

A relaxed structure of SeCl2 (PBEsol, Alexandria via LeMat-Bulk).

Results
- E_tot (eV per atom) = -2.393
- crystal system = trigonal
- E_form (uncorrected) (kcal/mol of atoms) = 5.273
- size of the total moment (μB/f.u.) = 0.00
- SG = P-3m1

Cell: 4.1654 4.1654 5.0261 Å, 90.00 90.00 120.00°
Sites, in units of the cell vectors:
Se 0.0000 0.0000 0.0000
Cl 0.3333 0.6667 0.2270
Cl 0.6667 0.3333 0.7730